! Zr5VRu4 (GGA-PBE, optimized geometry); values from VASP
&SYSTEM
  ibrav = 0, nat = 10, ntyp = 3
/
ATOMIC_SPECIES
Zr 91.22 Zr.upf
V 50.94 V.upf
Ru 101.07 Ru.upf
CELL_PARAMETERS angstrom
3.269 0.000 0.000
0.000 3.269 0.000
0.000 0.000 16.612
ATOMIC_POSITIONS crystal
Zr 0.000 0.000 0.000
Zr 0.000 0.000 0.199
Zr 0.000 0.000 0.396
Zr 0.000 0.000 0.604
Zr 0.000 0.000 0.801
V 0.500 0.500 0.500
Ru 0.500 0.500 0.099
Ru 0.500 0.500 0.296
Ru 0.500 0.500 0.704
Ru 0.500 0.500 0.901
! SG: P4/mmm
! density: 8.526 g/cm³

! ZrVRu (GGA-PBE, optimized geometry); values from VASP
&SYSTEM
  ibrav = 0, nat = 12, ntyp = 3
/
ATOMIC_SPECIES
Zr 91.22 Zr.upf
V 50.94 V.upf
Ru 101.07 Ru.upf
CELL_PARAMETERS angstrom
5.086 0.000 0.000
0.000 13.590 0.000
-0.628 0.000 2.885
ATOMIC_POSITIONS crystal
Zr 0.000 0.173 0.000
Zr 0.000 0.827 0.000
Zr 0.500 0.327 0.000
Zr 0.500 0.673 0.000
V 0.248 0.000 0.727
V 0.252 0.500 0.273
V 0.748 0.500 0.727
V 0.752 0.000 0.273
Ru 0.000 0.361 0.500
Ru 0.000 0.639 0.500
Ru 0.500 0.139 0.500
Ru 0.500 0.861 0.500
! relative energy among the computed polymorphs: 0.184 eV/atom
! SG: C2/m
! density: 8.101 g/cm³

! ZrVRu (GGA-PBE, optimized geometry); values from VASP
&SYSTEM
  ibrav = 0, nat = 12, ntyp = 3
/
ATOMIC_SPECIES
Zr 91.22 Zr.upf
V 50.94 V.upf
Ru 101.07 Ru.upf
CELL_PARAMETERS angstrom
3.179 0.000 0.000
0.000 13.835 0.000
0.000 0.000 4.468
ATOMIC_POSITIONS crystal
Zr 0.000 0.086 0.250
Zr 0.000 0.914 0.750
Zr 0.500 0.414 0.750
Zr 0.500 0.586 0.250
V 0.000 0.242 0.750
V 0.000 0.758 0.250
V 0.500 0.258 0.250
V 0.500 0.742 0.750
Ru 0.000 0.409 0.250
Ru 0.000 0.591 0.750
Ru 0.500 0.091 0.750
Ru 0.500 0.909 0.250
! relative energy among the computed polymorphs: 0.069 eV/atom
! SG: Cmcm
! density: 8.222 g/cm³

! ZrVRu (GGA-PBE, optimized geometry); values from VASP
&SYSTEM
  ibrav = 0, nat = 12, ntyp = 3
/
ATOMIC_SPECIES
Zr 91.22 Zr.upf
V 50.94 V.upf
Ru 101.07 Ru.upf
CELL_PARAMETERS angstrom
9.991 0.000 0.000
0.000 4.125 0.000
-4.063 0.000 5.052
ATOMIC_POSITIONS crystal
Zr 0.062 0.000 0.309
Zr 0.438 0.500 0.691
Zr 0.562 0.500 0.309
Zr 0.938 0.000 0.691
V 0.170 0.500 0.074
V 0.330 0.000 0.926
V 0.670 0.000 0.074
V 0.830 0.500 0.926
Ru 0.169 0.500 0.707
Ru 0.331 0.000 0.293
Ru 0.669 0.000 0.707
Ru 0.831 0.500 0.293
! relative energy among the computed polymorphs: 0.166 eV/atom
! SG: C2/m
! density: 7.761 g/cm³

! Zr2VRu (GGA-PBE, optimized geometry); values from VASP
&SYSTEM
  ibrav = 0, nat = 4, ntyp = 3
/
ATOMIC_SPECIES
Zr 91.22 Zr.upf
V 50.94 V.upf
Ru 101.07 Ru.upf
CELL_PARAMETERS angstrom
4.687 0.000 0.000
0.000 4.687 0.000
0.000 0.000 3.284
ATOMIC_POSITIONS crystal
Zr 0.000 0.500 0.000
Zr 0.500 0.000 0.000
V 0.000 0.000 0.500
Ru 0.500 0.500 0.500
! SG: P4/mmm
! density: 7.696 g/cm³

! ZrVRu (GGA-PBE, optimized geometry); values from VASP
&SYSTEM
  ibrav = 0, nat = 12, ntyp = 3
/
ATOMIC_SPECIES
Zr 91.22 Zr.upf
V 50.94 V.upf
Ru 101.07 Ru.upf
CELL_PARAMETERS angstrom
4.491 0.000 0.000
0.000 13.663 0.000
0.000 0.000 3.203
ATOMIC_POSITIONS crystal
Zr 0.000 0.164 0.000
Zr 0.000 0.836 0.000
Zr 0.500 0.336 0.000
Zr 0.500 0.664 0.000
V 0.000 0.000 0.500
V 0.000 0.500 0.000
V 0.500 0.000 0.000
V 0.500 0.500 0.500
Ru 0.000 0.342 0.500
Ru 0.000 0.658 0.500
Ru 0.500 0.158 0.500
Ru 0.500 0.842 0.500
! relative energy among the computed polymorphs: 0.116 eV/atom
! SG: Cmmm
! density: 8.222 g/cm³

! Zr6VRu5 (GGA-PBE, optimized geometry); values from VASP
&SYSTEM
  ibrav = 0, nat = 12, ntyp = 3
/
ATOMIC_SPECIES
Zr 91.22 Zr.upf
V 50.94 V.upf
Ru 101.07 Ru.upf
CELL_PARAMETERS angstrom
-2.322 3.289 6.973
2.322 -3.289 6.973
2.322 3.289 -6.973
ATOMIC_POSITIONS crystal
Zr 0.081 0.332 0.748
Zr 0.247 0.000 0.247
Zr 0.416 0.668 0.748
Zr 0.584 0.332 0.252
Zr 0.753 0.000 0.753
Zr 0.919 0.668 0.252
V 0.500 0.500 0.000
Ru 0.000 0.500 0.500
Ru 0.167 0.167 0.000
Ru 0.335 0.835 0.500
Ru 0.665 0.165 0.500
Ru 0.833 0.833 0.000
! SG: Immm
! density: 8.605 g/cm³

! ZrVRu (GGA-PBE, optimized geometry); values from VASP
&SYSTEM
  ibrav = 0, nat = 12, ntyp = 3
/
ATOMIC_SPECIES
Zr 91.22 Zr.upf
V 50.94 V.upf
Ru 101.07 Ru.upf
CELL_PARAMETERS angstrom
10.275 0.000 0.000
0.000 3.177 0.000
-2.045 0.000 6.044
ATOMIC_POSITIONS crystal
Zr 0.010 0.000 0.255
Zr 0.490 0.500 0.745
Zr 0.510 0.500 0.255
Zr 0.990 0.000 0.745
V 0.188 0.500 0.088
V 0.312 0.000 0.912
V 0.688 0.000 0.088
V 0.812 0.500 0.912
Ru 0.170 0.500 0.606
Ru 0.330 0.000 0.394
Ru 0.670 0.000 0.606
Ru 0.830 0.500 0.394
! relative energy among the computed polymorphs: 0.205 eV/atom
! SG: C2/m
! density: 8.188 g/cm³

Formation enthalpy at 0 K, record by record: -0.479, -0.223, -0.337, -0.240, -0.242, -0.291, -0.511, -0.202 eV per atom